1.
The following is a DFT calculation (GGA-PBE) of an optimized crystal structure of SrCu3Ru.

Computed properties:
Energy relative to the elements = 195 kJ per mole of atoms
Energy relative to the lowest polymorph listed for this composition = 1553 meV per atom

The structure in CIF format:
```
data_SrCu3Ru
_chemical_formula_sum 'Sr1 Cu3 Ru1'
_cell_length_a 4.868
_cell_length_b 4.868
_cell_length_c 4.868
_cell_angle_alpha 90.00
_cell_angle_beta 90.00
_cell_angle_gamma 90.00
_space_group_name_H-M_alt 'P m -3 m'
_space_group_IT_number 221
_space_group_name_Hall '-P 4 2 3'
loop_
_atom_site_label
_atom_site_fract_x
_atom_site_fract_y
_atom_site_fract_z
Sr1 0.000 0.000 0.000
Cu1 0.000 0.000 0.500
Ru1 0.500 0.500 0.500
```

=====

2.
The following is a DFT calculation (GGA-PBE) of an optimized crystal structure of NbInTe2N.

Computed properties:
Formation energy from raw total energies = -0.01 eV per atom
Energy relative to the lowest polymorph listed for this composition = 0 meV per atom

The structure in CIF format:
```
data_NbInTe2N
_chemical_formula_sum 'Nb1 In1 Te2 N1'
_cell_length_a 5.680
_cell_length_b 5.680
_cell_length_c 3.939
_cell_angle_alpha 90.00
_cell_angle_beta 90.00
_cell_angle_gamma 90.00
_space_group_name_H-M_alt 'P 4/m m m'
_space_group_IT_number 123
_space_group_name_Hall '-P 4 2'
loop_
_atom_site_label
_atom_site_fract_x
_atom_site_fract_y
_atom_site_fract_z
Nb1 0.000 0.000 0.000
In1 0.500 0.500 0.500
Te1 0.000 0.500 0.000
N1 0.000 0.000 0.500
```

=====

3.
The following is a DFT calculation (GGA-PBE) of an optimized crystal structure of CsInSb3.

Computed properties:
Formation energy from raw total energies = 1.30 eV per atom
Energy relative to the lowest polymorph listed for this composition = 1461 meV per atom

The structure in CIF format:
```
data_CsInSb3
_chemical_formula_sum 'Cs1 In1 Sb3'
_cell_length_a 6.247
_cell_length_b 6.247
_cell_length_c 6.247
_cell_angle_alpha 90.00
_cell_angle_beta 90.00
_cell_angle_gamma 90.00
_space_group_name_H-M_alt 'P m -3 m'
_space_group_IT_number 221
_space_group_name_Hall '-P 4 2 3'
loop_
_atom_site_label
_atom_site_fract_x
_atom_site_fract_y
_atom_site_fract_z
Cs1 0.000 0.000 0.000
In1 0.500 0.500 0.500
Sb1 0.000 0.000 0.500
```

=====

4.
The following is a DFT calculation (GGA-PBE) of an optimized crystal structure of NaMn2Pd8.

Computed properties:
Energy relative to the elements = -13 kJ per mole of atoms

The structure in CIF format:
```
data_NaMn2Pd8
_chemical_formula_sum 'Na2 Mn4 Pd16'
_cell_length_a 14.113
_cell_length_b 3.998
_cell_length_c 6.365
_cell_angle_alpha 90.00
_cell_angle_beta 106.96
_cell_angle_gamma 90.00
_space_group_name_H-M_alt 'C 1 2/m 1'
_space_group_IT_number 12
_space_group_name_Hall '-C 2y'
loop_
_atom_site_label
_atom_site_fract_x
_atom_site_fract_y
_atom_site_fract_z
Na1 0.000 0.000 0.000
Mn1 0.226 0.500 0.651
Pd1 0.046 0.500 0.722
Pd2 0.098 0.000 0.467
Pd3 0.145 0.500 0.203
Pd4 0.182 0.000 0.914
```